Entry 1:
The following is a DFT calculation (GGA-PBE) of an optimized crystal structure of NpIn2Hg.

The energy is -4.531 eV/atom. For the energy of formation from the pure elements, the calculation gives 0.149 eV per atom.

It has space group P4/mmm (No. 123), with a = 3.1541 Å, b = 3.1541 Å, c = 9.9199 Å, α = 90.00°, β = 90.00° and γ = 90.00°. The distinct sites, in fractional coordinates, are Np at (0.0000, 0.0000, 0.0000), In at (0.5000, 0.5000, 0.2491) and Hg at (0.0000, 0.0000, 0.5000).

---

Entry 2:
The following is a DFT calculation (GGA-PBE) of an optimized crystal structure of NpInHg.

The energy is -5.128 eV/atom. For the energy of formation from the pure elements, the calculation gives 0.199 eV per atom.

It has space group P3m1 (No. 156), with a = 3.1130 Å, b = 3.1130 Å, c = 8.3520 Å, α = 90.00°, β = 90.00° and γ = 120.00°. The distinct sites, in fractional coordinates, are Np at (0.0000, 0.0000, 0.0000), In at (0.6667, 0.3333, 0.3386) and Hg at (0.3333, 0.6667, 0.6669).

---

Entry 3:
The following is a DFT calculation (GGA-PBE) of an optimized crystal structure of NpIn2Hg.

The energy is -4.442 eV/atom. For the energy of formation from the pure elements, the calculation gives 0.237 eV per atom.

It has space group Fm-3m (No. 225), with a = 7.4105 Å, b = 7.4105 Å, c = 7.4105 Å, α = 90.00°, β = 90.00° and γ = 90.00°. The distinct sites, in fractional coordinates, are Np at (0.0000, 0.0000, 0.0000), In at (0.2500, 0.2500, 0.2500) and Hg at (0.0000, 0.0000, 0.5000).

---

Entry 4:
The following is a DFT calculation (GGA-PBE) of an optimized crystal structure of Np2In8Hg.

The energy is -4.325 eV/atom. For the energy of formation from the pure elements, the calculation gives 0.047 eV per atom.

It has space group P4/mmm (No. 123), with a = 4.7956 Å, b = 4.7956 Å, c = 12.3418 Å, α = 90.00°, β = 90.00° and γ = 90.00°. The distinct sites, in fractional coordinates, are Np at (0.0000, 0.0000, 0.1838), In at (0.0000, 0.5000, 0.0000), In at (0.0000, 0.5000, 0.3579), In at (0.5000, 0.5000, 0.1807) and Hg at (0.0000, 0.0000, 0.5000).

---

Entry 5:
The following is a DFT calculation (GGA-PBE) of an optimized crystal structure of NpInHg.

The energy is -5.262 eV/atom. For the energy of formation from the pure elements, the calculation gives 0.065 eV per atom.

It has space group Pnma (No. 62), with a = 8.5351 Å, b = 3.4407 Å, c = 9.5048 Å, α = 90.00°, β = 90.00° and γ = 90.00°. The distinct sites, in fractional coordinates, are Np at (0.0030, 0.2500, 0.0863), In at (0.1628, 0.2500, 0.6136) and Hg at (0.1681, 0.7500, 0.3633).

---

Entry 6:
The following is a DFT calculation (GGA-PBE) of an optimized crystal structure of NpIn2HgO8.

The formation energy from raw total energies comes out at -1.527 eV per atom. The energy is -6.392 eV/atom.

It has space group P-1 (No. 2), with a = 5.0318 Å, b = 5.0368 Å, c = 6.8439 Å, α = 86.79°, β = 86.74° and γ = 86.90°. The distinct sites, in fractional coordinates, are Np at (0.0000, 0.0000, 0.0000), In at (0.4804, 0.4805, 0.2550), Hg at (0.0000, 0.0000, 0.5000), O at (0.1808, 0.1792, 0.2332), O at (0.2059, 0.2034, 0.8134), O at (0.2998, 0.6983, 0.0001) and O at (0.3100, 0.6886, 0.5002).

---

Entry 7:
The following is a DFT calculation (GGA-PBE) of an optimized crystal structure of NpInHgO6.

The formation energy from raw total energies comes out at -1.644 eV per atom. The energy is -6.725 eV/atom.

It has space group C2 (No. 5), with a = 5.4442 Å, b = 10.3079 Å, c = 5.1568 Å, α = 90.00°, β = 99.27° and γ = 90.00°. The distinct sites, in fractional coordinates, are Np at (0.0000, 0.0000, 0.0000), In at (0.0000, 0.3287, 0.0000), Hg at (0.0000, 0.6756, 0.5000), O at (0.1804, 0.1641, 0.2195), O at (0.2056, 0.8615, 0.2223) and O at (0.2403, 0.4915, 0.2118).

---

Entry 8:
The following is a DFT calculation (GGA-PBE) of an optimized crystal structure of NpInHgPt.

The energy is -5.670 eV/atom. For the energy of formation from the pure elements, the calculation gives -0.165 eV per atom.

It has space group F-43m (No. 216), with a = 7.0631 Å, b = 7.0631 Å, c = 7.0631 Å, α = 90.00°, β = 90.00° and γ = 90.00°. The distinct sites, in fractional coordinates, are Np at (0.0000, 0.0000, 0.0000), In at (0.0000, 0.0000, 0.5000), Hg at (0.2500, 0.2500, 0.2500) and Pt at (0.2500, 0.2500, 0.7500).

---

Entry 9:
The following is a DFT calculation (GGA-PBE) of an optimized crystal structure of NpInHgSb.

The formation energy from raw total energies comes out at 0.085 eV per atom. The energy is -4.941 eV/atom.

It has space group F-43m (No. 216), with a = 7.4861 Å, b = 7.4861 Å, c = 7.4861 Å, α = 90.00°, β = 90.00° and γ = 90.00°. The distinct sites, in fractional coordinates, are Np at (0.0000, 0.0000, 0.0000), In at (0.0000, 0.0000, 0.5000), Hg at (0.2500, 0.2500, 0.2500) and Sb at (0.2500, 0.2500, 0.7500).

---

Entry 10:
The following is a DFT calculation (GGA-PBE) of an optimized crystal structure of NpInHgSb.

The formation energy from raw total energies comes out at -0.115 eV per atom. The energy is -5.141 eV/atom.

It has space group Pmmm (No. 47), with a = 4.4150 Å, b = 4.4901 Å, c = 5.0974 Å, α = 90.00°, β = 90.00° and γ = 90.00°. The distinct sites, in fractional coordinates, are Np at (0.0000, 0.0000, 0.0000), In at (0.0000, 0.5000, 0.5000), Hg at (0.5000, 0.0000, 0.5000) and Sb at (0.5000, 0.5000, 0.0000).

---

Entry 11:
The following is a DFT calculation (GGA-PBE) of an optimized crystal structure of NpScInHg.

The energy is -5.590 eV/atom. For the energy of formation from the pure elements, the calculation gives -0.012 eV per atom.

It has space group F-43m (No. 216), with a = 7.3313 Å, b = 7.3313 Å, c = 7.3313 Å, α = 90.00°, β = 90.00° and γ = 90.00°. The distinct sites, in fractional coordinates, are Np at (0.0000, 0.0000, 0.0000), Sc at (0.0000, 0.0000, 0.5000), In at (0.2500, 0.2500, 0.2500) and Hg at (0.2500, 0.2500, 0.7500).

---

Entry 12:
The following is a DFT calculation (GGA-PBE) of an optimized crystal structure of NpTlInHg.

The energy is -4.388 eV/atom. For the energy of formation from the pure elements, the calculation gives 0.199 eV per atom.

It has space group F-43m (No. 216), with a = 7.4569 Å, b = 7.4569 Å, c = 7.4569 Å, α = 90.00°, β = 90.00° and γ = 90.00°. The distinct sites, in fractional coordinates, are Np at (0.0000, 0.0000, 0.0000), Tl at (0.2500, 0.2500, 0.7500), In at (0.0000, 0.0000, 0.5000) and Hg at (0.2500, 0.2500, 0.2500).

---

Entry 13:
The following is a DFT calculation (GGA-PBE) of an optimized crystal structure of NpZnInHg.

The energy is -4.202 eV/atom. For the energy of formation from the pure elements, the calculation gives 0.112 eV per atom.

It has space group F-43m (No. 216), with a = 7.1421 Å, b = 7.1421 Å, c = 7.1421 Å, α = 90.00°, β = 90.00° and γ = 90.00°. The distinct sites, in fractional coordinates, are Np at (0.0000, 0.0000, 0.0000), Zn at (0.2500, 0.2500, 0.2500), In at (0.0000, 0.0000, 0.5000) and Hg at (0.2500, 0.2500, 0.7500).

---

Entry 14:
The following is a DFT calculation (GGA-PBE) of an optimized crystal structure of In3HgO.

The formation energy from raw total energies comes out at 0.609 eV per atom. The energy is -2.086 eV/atom.

It has space group Pm-3m (No. 221), with a = 5.4626 Å, b = 5.4626 Å, c = 5.4626 Å, α = 90.00°, β = 90.00° and γ = 90.00°. The distinct sites, in fractional coordinates, are In at (0.0000, 0.0000, 0.5000), Hg at (0.0000, 0.0000, 0.0000) and O at (0.5000, 0.5000, 0.5000).

---

Entry 15:
The following is a DFT calculation (GGA-PBE) of an optimized crystal structure of In5HgO8.

The formation energy from raw total energies comes out at -1.345 eV per atom. The energy is -5.177 eV/atom.

It has space group F-43m (No. 216), with a = 9.3951 Å, b = 9.3951 Å, c = 9.3951 Å, α = 90.00°, β = 90.00° and γ = 90.00°. The distinct sites, in fractional coordinates, are In at (0.0000, 0.0000, 0.0000), In at (0.1244, 0.1244, 0.3756), Hg at (0.2500, 0.2500, 0.7500), O at (0.1094, 0.1094, 0.6094) and O at (0.1356, 0.1356, 0.1356).

---

Entry 16:
The following is a DFT calculation (GGA-PBE) of an optimized crystal structure of In2HgO4.

The formation energy from raw total energies comes out at -1.207 eV per atom. The energy is -4.866 eV/atom.

It has space group Fd-3m (No. 227, origin choice 2), with a = 9.4180 Å, b = 9.4180 Å, c = 9.4180 Å, α = 90.00°, β = 90.00° and γ = 90.00°. The distinct sites, in fractional coordinates, are In at (0.0000, 0.0000, 0.0000), Hg at (0.1250, 0.1250, 0.6250) and O at (0.0156, 0.0156, 0.2344).

---

Entry 17:
The following is a DFT calculation (GGA-PBE) of an optimized crystal structure of InHgO.

The formation energy from raw total energies comes out at -0.595 eV per atom. The energy is -3.261 eV/atom.

It has space group P3m1 (No. 156), with a = 3.4994 Å, b = 3.4994 Å, c = 6.2377 Å, α = 90.00°, β = 90.00° and γ = 120.00°. The distinct sites, in fractional coordinates, are In at (0.0000, 0.0000, 0.0000), Hg at (0.3333, 0.6667, 0.5977) and O at (0.6667, 0.3333, 0.1188).

---

Entry 18:
The following is a DFT calculation (GGA-PBE) of an optimized crystal structure of InHgO.

The formation energy from raw total energies comes out at -0.596 eV per atom. The energy is -3.263 eV/atom.

It has space group R3 (No. 146, hexagonal axes), with a = 6.1620 Å, b = 6.1620 Å, c = 21.2523 Å, α = 90.00°, β = 90.00° and γ = 120.00°. The distinct sites, in fractional coordinates, are In at (0.0000, 0.0000, 0.0000), In at (0.0000, 0.0000, 0.1398), In at (0.0000, 0.0000, 0.4167), Hg at (0.0231, 0.3033, 0.5639) and O at (0.0387, 0.5821, 0.7365).

---

Entry 19:
The following is a DFT calculation (GGA-PBE) of an optimized crystal structure of In12Hg3O5.

The formation energy from raw total energies comes out at -0.360 eV per atom. The energy is -3.288 eV/atom.

It has space group Ia-3d (No. 230), with a = 15.5016 Å, b = 15.5016 Å, c = 15.5016 Å, α = 90.00°, β = 90.00° and γ = 90.00°. The distinct sites, in fractional coordinates, are In at (0.0342, 0.0599, 0.6501), Hg at (0.0000, 0.2500, 0.1250), O at (0.0000, 0.0000, 0.0000) and O at (0.0000, 0.2500, 0.3750).

---

Entry 20:
The following is a DFT calculation (GGA-PBE) of an optimized crystal structure of InHgO2.

The formation energy from raw total energies comes out at -0.171 eV per atom. The energy is -3.410 eV/atom.

It has space group Fm-3m (No. 225), with a = 6.0644 Å, b = 6.0644 Å, c = 6.0644 Å, α = 90.00°, β = 90.00° and γ = 90.00°. The distinct sites, in fractional coordinates, are In at (0.0000, 0.0000, 0.0000), Hg at (0.0000, 0.0000, 0.5000) and O at (0.2500, 0.2500, 0.2500).

---

Entry 21:
The following is a DFT calculation (GGA-PBE) of an optimized crystal structure of In3HgO.

The formation energy from raw total energies comes out at -0.214 eV per atom. The energy is -2.909 eV/atom.

It has space group Pm-3m (No. 221), with a = 4.9173 Å, b = 4.9173 Å, c = 4.9173 Å, α = 90.00°, β = 90.00° and γ = 90.00°. The distinct sites, in fractional coordinates, are In at (0.0000, 0.0000, 0.5000), Hg at (0.5000, 0.5000, 0.5000) and O at (0.0000, 0.0000, 0.0000).

---

Entry 22:
The following is a DFT calculation (GGA-PBE) of an optimized crystal structure of InHg3O.

The formation energy from raw total energies comes out at 0.205 eV per atom. The energy is -1.516 eV/atom.

It has space group Pm-3m (No. 221), with a = 4.9431 Å, b = 4.9431 Å, c = 4.9431 Å, α = 90.00°, β = 90.00° and γ = 90.00°. The distinct sites, in fractional coordinates, are In at (0.0000, 0.0000, 0.0000), Hg at (0.0000, 0.5000, 0.5000) and O at (0.5000, 0.5000, 0.5000).